Entry 1:
Computed, not measured: SrIn2Au9 after structural relaxation at the PBE level of DFT.

Lattice parameters (Å, degrees): 9.8935 9.8935 9.8935 33.14 33.14 33.14
Sites, in units of the cell vectors:
Sr: 0.0000 0.0000 0.0000
In: 0.1451 0.1451 0.1451
In: 0.8549 0.8549 0.8549
Au: 0.0815 0.5859 0.5859
Au: 0.3331 0.3331 0.3331
Au: 0.4141 0.4141 0.9185
Au: 0.4141 0.9185 0.4141
Au: 0.5000 0.5000 0.5000
Au: 0.5859 0.0815 0.5859
Au: 0.5859 0.5859 0.0815
Au: 0.6669 0.6669 0.6669
Au: 0.9185 0.4141 0.4141

Summary:
VASP energy: -39.7 eV/cell
Symmetry: R-3m, No. 166
Calculated density: 13.47 g cm⁻³
Total moment: 0.00 μB per formula unit

***

Entry 2:
Computed, not measured: Sr2In5Au3 after structural relaxation at the PBE level of DFT.

Lattice parameters (Å, degrees): 9.5293 9.5293 9.5293 99.49 94.24 139.57
Sites, in units of the cell vectors:
Sr: 0.1301 0.2451 0.3752
Sr: 0.3699 0.7451 0.1149
Sr: 0.6301 0.2549 0.8851
Sr: 0.8699 0.7549 0.6248
In: 0.0009 0.7500 0.2509
In: 0.1114 0.6418 0.7532
In: 0.2500 0.2500 0.0000
In: 0.3886 0.1418 0.5305
In: 0.4991 0.7500 0.7491
In: 0.5009 0.2500 0.2509
In: 0.6114 0.8582 0.4695
In: 0.7500 0.7500 0.0000
In: 0.8886 0.3582 0.2468
In: 0.9991 0.2500 0.7491
Au: 0.1247 0.8626 0.9873
Au: 0.2500 0.7500 0.5000
Au: 0.3753 0.3626 0.7380
Au: 0.6247 0.6374 0.2620
Au: 0.7500 0.2500 0.5000
Au: 0.8753 0.1374 0.0127

Summary:
VASP energy: -63.4 eV/cell
Symmetry: Ibam, No. 72
ΔE to the lowest computed polymorph: 17 meV/atom
Calculated density: 8.46 g cm⁻³
Total moment: 0.00 μB per formula unit

***

The records above give, respectively, formation enthalpy at 0 K values of -0.255 -0.480 eV/atom.